1.
MnNiSb2 (PBEsol, relaxed); D(E_F) = 0.582 states/eV/atom; ΔE to the lowest computed polymorph = 0.366 eV per atom; SG = I-4m2, No. 119; energy = -24.02 eV/cell; E_form (uncorrected) = 1.0 eV/f.u.
1.0
3.824 0.000 0.000
0.000 3.824 0.000
-1.912 -1.912 4.813
Mn Ni Sb
1 1 2
direct
0.500 0.500 0.000
0.250 0.750 0.500
0.000 0.000 0.000
0.750 0.250 0.500

2.
MnNiSb2 (PBEsol, relaxed); D(E_F) = 0.797 states/eV/atom; ΔE to the lowest computed polymorph = 0.000 eV per atom; SG = P-3m1, No. 164; energy = -25.48 eV/cell; E_form (uncorrected) = -0.4 eV/f.u.
1.0
3.905 0.000 0.000
-1.953 3.382 0.000
0.000 0.000 5.347
Sb Mn Ni
2 1 1
direct
0.667 0.333 0.761
0.333 0.667 0.239
0.000 0.000 0.500
0.000 0.000 0.000

3.
MnNiSb2 (PBEsol, relaxed); D(E_F) = 0.741 states/eV/atom; ΔE to the lowest computed polymorph = 0.285 eV per atom; SG = C2/m, No. 12; energy = -24.34 eV/cell; E_form (uncorrected) = 0.7 eV/f.u.
1.0
-0.222 -3.442 1.038
2.360 0.743 -3.280
3.390 1.154 4.549
Mn Ni Sb
1 1 2
direct
0.000 0.000 0.500
0.500 0.000 0.000
0.756 0.512 0.769
0.244 0.488 0.231

4.
MnNiSb (PBEsol, relaxed); D(E_F) = 0.234 states/eV/atom; SG = F-43m, No. 216; energy = -20.92 eV/cell; E_form (uncorrected) = -0.4 eV/f.u.
1.0
-2.032 -3.142 -1.705
-0.970 -3.292 2.265
-3.919 -0.710 1.021
Sb Mn Ni
1 1 1
direct
0.000 0.000 0.000
0.500 0.500 0.500
0.250 0.250 0.250

5.
Sc2MnNi (PBEsol, relaxed); energy relative to the elements = -13 meV/atom; D(E_F) = 0.876 states/eV/atom; SG = P4mm, No. 99; energy = -29.18 eV/cell
1.0
3.080 0.000 0.000
0.000 3.080 0.000
0.000 0.000 7.141
Mn Ni Sc
1 1 2
direct
0.000 0.000 0.543
0.500 0.500 0.724
0.000 0.000 0.934
0.500 0.500 0.300

6.
ScMnNi6 (PBEsol, relaxed); energy relative to the elements = -221 meV/atom; D(E_F) = 1.116 states/eV/atom; SG = Cmmm, No. 65; energy = -220.32 eV/cell
1.0
-4.952 0.700 3.646
2.535 -5.560 0.984
5.880 3.961 7.225
Mn Ni Sc
4 24 4
direct
0.243 0.757 0.000
0.757 0.243 0.000
0.500 0.500 0.752
0.500 0.500 0.248
0.254 0.746 0.758
0.870 0.616 0.879
0.130 0.384 0.879
0.746 0.254 0.758
0.384 0.130 0.879
0.616 0.870 0.879
0.500 0.500 0.500
0.135 0.381 0.630
0.381 0.135 0.630
0.254 0.746 0.242
0.865 0.619 0.370
0.135 0.381 0.370
0.746 0.254 0.242
0.381 0.135 0.370
0.619 0.865 0.370
0.500 0.500 0.000
0.130 0.384 0.121
0.384 0.130 0.121
0.000 0.000 0.500
0.619 0.865 0.630
0.865 0.619 0.630
0.000 0.000 0.000
0.616 0.870 0.121
0.870 0.616 0.121
0.247 0.753 0.500
0.753 0.247 0.500
0.000 0.000 0.752
0.000 0.000 0.248